Record 1
This record from Alexandria describes crystalline MgPPdS2 at its relaxed geometry. The functional is PBE-GGA.

Values from the calculation:
**Symmetry**: P4/mmm, No. 123
**Energy above the lowest structure with this stoichiometry**: 445 meV/atom
**ρ**: 3.6 g cm⁻³
**Size of the total moment**: 0.00 μB per cell
**D(E_F)**: 5.01 states/eV per cell
**Energy**: -3.3874 eV/atom

Lattice parameters (Å, degrees): 4.678 4.678 4.795 90.00 90.00 90.00
Element x y z (fractional)
P 0.000 0.000 0.500
S 0.000 0.500 0.000
S 0.500 0.000 0.000
Mg 0.000 0.000 0.000
Pd 0.500 0.500 0.500

---

Record 2
This record from Alexandria describes crystalline MgP2PdS at its relaxed geometry. The functional is PBE-GGA.

Values from the calculation:
**Symmetry**: P4/mmm, No. 123
**Energy above the lowest structure with this stoichiometry**: 0 meV/atom
**ρ**: 3.5 g cm⁻³
**Size of the total moment**: 1.04 μB per cell
**D(E_F)**: 3.87 states/eV per cell
**Energy**: -3.9101 eV/atom

Lattice parameters (Å, degrees): 4.578 4.578 5.123 90.00 90.00 90.00
Each line ends with the local moment (μB).
Element x y z (fractional)
P 0.000 0.500 0.000  0.19
P 0.500 0.000 0.000  0.19
S 0.000 0.000 0.500  0.07
Mg 0.500 0.500 0.500  0.00
Pd 0.000 0.000 0.000  0.11

---

Record 3
This record from Alexandria describes crystalline MgPPdS2 at its relaxed geometry. The functional is PBE-GGA.

Values from the calculation:
**Symmetry**: P4/mmm, No. 123
**Energy above the lowest structure with this stoichiometry**: 0 meV/atom
**ρ**: 3.5 g cm⁻³
**Size of the total moment**: 0.00 μB per cell
**D(E_F)**: 2.54 states/eV per cell
**Energy**: -3.8322 eV/atom

Lattice parameters (Å, degrees): 4.967 4.967 4.376 90.00 90.00 90.00
Element x y z (fractional)
P 0.000 0.000 0.500
S 0.000 0.500 0.000
S 0.500 0.000 0.000
Mg 0.500 0.500 0.500
Pd 0.000 0.000 0.000

---

Record 4
This record from Alexandria describes crystalline MgSb2P2Pd7 at its relaxed geometry. The functional is PBE-GGA.

Values from the calculation:
**Symmetry**: I4/mmm, No. 139
**ρ**: 7.9 g cm⁻³
**Size of the total moment**: 0.00 μB per cell
**D(E_F)**: 5.95 states/eV per cell
**Energy**: -5.1969 eV/atom

Lattice parameters (Å, degrees): 3.924 3.924 14.872 82.42 82.42 89.98
Element x y z (fractional)
Mg 0.000 0.000 0.000
Sb 0.787 0.787 0.424
Sb 0.213 0.213 0.576
P 0.614 0.614 0.771
P 0.386 0.386 0.229
Pd 0.500 0.500 0.000
Pd 0.305 0.305 0.389
Pd 0.695 0.695 0.611
Pd 0.929 0.429 0.143
Pd 0.429 0.929 0.143
Pd 0.571 0.071 0.857
Pd 0.071 0.571 0.857

---

Record 5
This record from Alexandria describes crystalline MgSb2PPd at its relaxed geometry. The functional is PBE-GGA.

Values from the calculation:
**Symmetry**: P4/mmm, No. 123
**ρ**: 5.2 g cm⁻³
**Size of the total moment**: 0.00 μB per cell
**D(E_F)**: 3.10 states/eV per cell
**Energy**: -3.2204 eV/atom

Lattice parameters (Å, degrees): 5.293 4.640 5.293 90.00 90.00 90.00
Element x y z (fractional)
Sb 0.000 0.000 0.500
Sb 0.500 0.000 0.000
Mg 0.000 0.000 0.000
Pd 0.000 0.500 0.000
P 0.500 0.500 0.500

---

Record 6
This record from Alexandria describes crystalline Sm2MgP3Pd4 at its relaxed geometry. The functional is PBE-GGA.

Values from the calculation:
**Symmetry**: P-4m2, No. 115
**ρ**: 7.8 g cm⁻³
**E_form**: -935.8 meV per atom
**Size of the total moment**: 0.00 μB per cell
**D(E_F)**: 5.25 states/eV per cell
**Energy**: -5.7392 eV/atom

Lattice parameters (Å, degrees): 4.042 4.042 10.997 90.00 90.00 90.00
Element x y z (fractional)
Sm 0.500 0.000 0.223
Sm 0.000 0.500 0.777
Mg 0.500 0.500 0.500
P 0.000 0.000 0.500
P 0.500 0.000 0.862
P 0.000 0.500 0.138
Pd 0.500 0.500 0.000
Pd 0.000 0.000 0.000
Pd 0.500 0.000 0.647
Pd 0.000 0.500 0.353